[1]
First-principles (GGA-PBE) data for U2C3 after structural relaxation, as listed in Alexandria via LeMat-Bulk.

a b c (Å): 8.0540 8.0540 8.0540
angles (deg): 90.00 90.00 90.00
Last column: nearest neighbours and their distance in Å.
Space group I-43d (No. 220)
One atom of each set of equivalent atoms:
U: 0.0492 0.4508 0.5492 x16  6 C 2.44-2.53
C: 0.0000 0.2500 0.7858 x24  1 C 1.44

=====

[2]
First-principles (GGA-PBE) data for U4C3 after structural relaxation, as listed in Alexandria via LeMat-Bulk.

a b c (Å): 3.3333 3.3333 33.0365
angles (deg): 90.00 90.00 120.00
Last column: nearest neighbours and their distance in Å.
Space group R-3m (No. 166, hexagonal axes)
One atom of each set of equivalent atoms:
U: 0.0000 0.0000 0.1202 x6  6 C 2.44-2.46
U: 0.0000 0.0000 0.3043 x6  3 C 2.44, 3 U 2.72
C: 0.0000 0.0000 0.4080 x6  6 U 2.44
C: 0.0000 0.0000 0.5000 x3  6 U 2.46

polymorph energy (0 for the lowest one): 9 meV per atom

=====

[3]
First-principles (GGA-PBE) data for UW2C2 after structural relaxation, as listed in Alexandria via LeMat-Bulk.

a b c (Å): 9.2560 9.2560 5.0644
angles (deg): 90.00 90.00 90.00
Last column: nearest neighbours and their distance in Å.
Space group I4/mmm (No. 139)
One atom of each set of equivalent atoms:
U: 0.0000 0.5000 0.0000 x4  2 C 2.45, 2 U 2.53
W: 0.2069 0.2069 0.0000 x8  2 C 1.93
C: 0.0000 0.2357 0.0000 x8  2 W 1.93

=====

[4]
First-principles (GGA-PBE) data for UWC after structural relaxation, as listed in Alexandria via LeMat-Bulk.

a b c (Å): 2.9037 2.9037 10.4105
angles (deg): 90.00 90.00 90.00
Last column: nearest neighbours and their distance in Å.
Space group I4mm (No. 107)
One atom of each set of equivalent atoms:
U: 0.0000 0.0000 0.0000 x2  5 W 2.83-3.14, 4 C 2.88, 4 U 2.90
W: 0.0000 0.0000 0.2718 x2  4 C 2.21
C: 0.0000 0.0000 0.6937 x2  4 W 2.21

polymorph energy (0 for the lowest one): 395 meV per atom

=====

[5]
First-principles (GGA-PBE) data for UWC after structural relaxation, as listed in Alexandria via LeMat-Bulk.

a b c (Å): 3.0046 3.0046 11.4239
angles (deg): 90.00 90.00 120.00
Last column: nearest neighbours and their distance in Å.
Space group P6_3mc (No. 186)
One atom of each set of equivalent atoms:
U: 0.3333 0.6667 0.0000 x2  3 C 2.41
W: 0.0000 0.0000 0.2493 x2  3 C 2.11
C: 0.3333 0.6667 0.3541 x2  3 W 2.11

polymorph energy (0 for the lowest one): 20 meV per atom

=====

[6]
First-principles (GGA-PBE) data for U2W2C3 after structural relaxation, as listed in Alexandria via LeMat-Bulk.

a b c (Å): 11.9358 3.1568 5.5983
angles (deg): 90.00 111.61 90.00
Last column: nearest neighbours and their distance in Å.
Space group C2/m (No. 12)
One atom of each set of equivalent atoms:
U: 0.1039 0.0000 0.3099 x4  5 C 2.42-2.48
W: 0.1519 0.5000 0.8357 x4  4 C 2.08-2.20
C: 0.0000 0.5000 0.5000 x2  2 W 2.08
C: 0.2498 0.0000 0.7452 x4  3 W 2.13-2.20

=====

[7]
First-principles (GGA-PBE) data for UWC after structural relaxation, as listed in Alexandria via LeMat-Bulk.

a b c (Å): 3.0124 3.0124 5.6689
angles (deg): 90.00 90.00 120.00
Last column: nearest neighbours and their distance in Å.
Space group P3m1 (No. 156)
One atom of each set of equivalent atoms:
U: 0.0000 0.0000 0.0000 x1  3 C 2.42
W: 0.6667 0.3333 0.4939 x1  3 C 2.11
C: 0.3333 0.6667 0.7042 x1  3 W 2.11

polymorph energy (0 for the lowest one): 0 meV per atom

=====

[8]
First-principles (GGA-PBE) data for U2W2C3 after structural relaxation, as listed in Alexandria via LeMat-Bulk.

a b c (Å): 11.5394 3.1395 5.5603
angles (deg): 90.00 105.04 90.00
Last column: nearest neighbours and their distance in Å.
Space group C2/m (No. 12)
One atom of each set of equivalent atoms:
U: 0.1025 0.0000 0.3349 x4  5 C 2.44-2.49
W: 0.1540 0.5000 0.8670 x4  4 C 2.09-2.19
C: 0.0000 0.5000 0.0000 x2  2 W 2.09
C: 0.2490 0.0000 0.7390 x4  3 W 2.14-2.19

=====

[9]
First-principles (GGA-PBE) data for ZrUWC3 after structural relaxation, as listed in Alexandria via LeMat-Bulk.

a b c (Å): 7.0664 3.2337 7.8730
angles (deg): 90.00 94.45 90.00
Last column: nearest neighbours and their distance in Å.
Space group P2_1/m (No. 11)
One atom of each set of equivalent atoms:
Zr: 0.1289 0.2500 0.1424 x2  5 C 2.23-2.37
U: 0.3520 0.7500 0.8265 x2  7 C 2.38-2.57
W: 0.3689 0.7500 0.4142 x2  4 C 2.07-2.17
C: 0.1100 0.2500 0.8587 x2  3 Zr 2.23-2.34, 2 U 2.38
C: 0.3255 0.2500 0.5715 x2  3 W 2.07-2.15
C: 0.3741 0.7500 0.1390 x2  1 W 2.17, 2 Zr 2.37

=====

[10]
First-principles (GGA-PBE) data for Y5UC4 after structural relaxation, as listed in Alexandria via LeMat-Bulk.

a b c (Å): 15.6345 3.5977 7.2226
angles (deg): 90.00 102.81 90.00
Last column: nearest neighbours and their distance in Å.
Space group C2/m (No. 12)
One atom of each set of equivalent atoms:
Y: 0.0000 0.0000 0.0000 x2  4 C 2.67
Y: 0.1613 0.5000 0.8129 x4  3 C 2.45-2.46
Y: 0.1666 0.5000 0.3481 x4  4 C 2.48-2.69
U: 0.0000 0.0000 0.5000 x2  6 C 2.40-2.43
C: 0.0007 0.5000 0.7274 x4  2 U 2.43, 4 Y 2.45-2.67
C: 0.1574 0.0000 0.5788 x4  1 U 2.40, 5 Y 2.46-2.69

=====

[11]
First-principles (GGA-PBE) data for YU2C3 after structural relaxation, as listed in Alexandria via LeMat-Bulk.

a b c (Å): 3.5437 5.0461 10.4094
angles (deg): 90.00 90.00 90.00
Last column: nearest neighbours and their distance in Å.
Space group Immm (No. 71)
One atom of each set of equivalent atoms:
Y: 0.0000 0.0000 0.0000 x2  6 C 2.52-2.62
U: 0.0000 0.0000 0.3355 x4  6 C 2.36-2.53
C: 0.0000 0.5000 0.0000 x2  4 U 2.46, 2 Y 2.52
C: 0.0000 0.5000 0.3142 x4  4 U 2.36-2.53, 2 Y 2.62

=====

[12]
First-principles (GGA-PBE) data for Y2UC3 after structural relaxation, as listed in Alexandria via LeMat-Bulk.

a b c (Å): 6.2112 10.7548 6.1551
angles (deg): 90.00 109.68 90.00
Last column: nearest neighbours and their distance in Å.
Space group C2/m (No. 12)
One atom of each set of equivalent atoms:
Y: 0.0000 0.0000 0.0000 x2  6 C 2.56-2.57
Y: 0.0000 0.1657 0.5000 x4  6 C 2.52-2.69
Y: 0.0000 0.5000 0.5000 x2  6 C 2.50-2.69
U: 0.0000 0.3329 0.0000 x4  6 C 2.37-2.39
C: 0.2185 0.5000 0.2259 x4  2 U 2.39, 4 Y 2.50-2.66
C: 0.2475 0.3209 0.7793 x8  2 U 2.37, 2 Y 2.52-2.56

=====

[13]
First-principles (GGA-PBE) data for YUC2 after structural relaxation, as listed in Alexandria via LeMat-Bulk.

a b c (Å): 3.5860 3.5860 17.0836
angles (deg): 90.00 90.00 120.00
Last column: nearest neighbours and their distance in Å.
Space group R-3m (No. 166, hexagonal axes)
One atom of each set of equivalent atoms:
Y: 0.0000 0.0000 0.0000 x3  6 C 2.65
U: 0.0000 0.0000 0.5000 x3  6 C 2.39
C: 0.0000 0.0000 0.2370 x6  3 U 2.39, 3 Y 2.65

polymorph energy (0 for the lowest one): 0 meV per atom

=====

[14]
First-principles (GGA-PBE) data for YUC2 after structural relaxation, as listed in Alexandria via LeMat-Bulk.

a b c (Å): 3.5467 3.5467 17.5360
angles (deg): 90.00 90.00 120.00
Last column: nearest neighbours and their distance in Å.
Space group R3m (No. 160, hexagonal axes)
One atom of each set of equivalent atoms:
Y: 0.0000 0.0000 0.0000 x3  6 C 2.58-2.75
U: 0.0000 0.0000 0.8271 x3  6 C 2.37-2.40
C: 0.0000 0.0000 0.2289 x3  3 U 2.37
C: 0.0000 0.0000 0.4226 x3  3 U 2.40, 3 Y 2.58

polymorph energy (0 for the lowest one): 192 meV per atom

=====

[15]
First-principles (GGA-PBE) data for YUC after structural relaxation, as listed in Alexandria via LeMat-Bulk.

a b c (Å): 3.7305 3.7305 6.6911
angles (deg): 90.00 90.00 120.00
Last column: nearest neighbours and their distance in Å.
Space group P-6m2 (No. 187)
One atom of each set of equivalent atoms:
Y: 0.0000 0.0000 0.0000 x1  2 U 3.35, 6 Y 3.73
U: 0.0000 0.0000 0.5000 x1  3 C 2.15
C: 0.6667 0.3333 0.5000 x1  3 U 2.15

polymorph energy (0 for the lowest one): 903 meV per atom

=====

[16]
First-principles (GGA-PBE) data for YUC after structural relaxation, as listed in Alexandria via LeMat-Bulk.

a b c (Å): 3.3989 3.3989 6.1778
angles (deg): 90.00 90.00 120.00
Last column: nearest neighbours and their distance in Å.
Space group P3m1 (No. 156)
One atom of each set of equivalent atoms:
Y: 0.0000 0.0000 0.0000 x1  3 C 2.50
U: 0.6667 0.3333 0.4626 x1  3 C 2.36
C: 0.3333 0.6667 0.2510 x1  3 U 2.36, 3 Y 2.50

polymorph energy (0 for the lowest one): 0 meV per atom

=====

[17]
First-principles (GGA-PBE) data for YUC2 after structural relaxation, as listed in Alexandria via LeMat-Bulk.

a b c (Å): 5.0633 5.0633 9.8921
angles (deg): 90.00 90.00 90.00
Last column: nearest neighbours and their distance in Å.
Space group I4_1/amd (No. 141, origin choice 2)
One atom of each set of equivalent atoms:
Y: 0.0000 0.2500 0.3750 x4  6 C 2.54-2.70
U: 0.0000 0.2500 0.8750 x4  2 C 2.24
C: 0.0000 0.2500 0.1017 x8  1 U 2.24

polymorph energy (0 for the lowest one): 15 meV per atom

=====

[18]
First-principles (GGA-PBE) data for Y3UC4 after structural relaxation, as listed in Alexandria via LeMat-Bulk.

a b c (Å): 7.0935 10.1281 3.5881
angles (deg): 90.00 90.00 90.00
Last column: nearest neighbours and their distance in Å.
Space group Cmmm (No. 65)
One atom of each set of equivalent atoms:
Y: 0.0000 0.0000 0.0000 x2  6 C 2.66-2.70
Y: 0.2500 0.2500 0.5000 x4  6 C 2.53-2.54
U: 0.0000 0.5000 0.0000 x2  6 C 2.36-2.39
C: 0.0000 0.2667 0.0000 x4  1 U 2.36, 4 Y 2.53
C: 0.2224 0.5000 0.5000 x4  2 U 2.39, 4 Y 2.54-2.66

=====

[19]
First-principles (GGA-PBE) data for Y4UC4 after structural relaxation, as listed in Alexandria via LeMat-Bulk.

a b c (Å): 11.9055 3.6112 8.7980
angles (deg): 90.00 119.81 90.00
Last column: nearest neighbours and their distance in Å.
Space group C2/m (No. 12)
One atom of each set of equivalent atoms:
Y: 0.1088 0.0000 0.3921 x4  4 C 2.46-2.65
Y: 0.2033 0.5000 0.8066 x4  5 C 2.49-2.71
U: 0.0000 0.5000 0.0000 x2  6 C 2.39-2.40
C: 0.0874 0.0000 0.9128 x4  2 U 2.39, 2 Y 2.49-2.53
C: 0.1909 0.5000 0.2845 x4  1 U 2.40, 5 Y 2.46-2.65

=====

[20]
First-principles (GGA-PBE) data for YU3C4 after structural relaxation, as listed in Alexandria via LeMat-Bulk.

a b c (Å): 6.9928 10.0240 3.5349
angles (deg): 90.00 90.00 90.00
Last column: nearest neighbours and their distance in Å.
Space group Cmmm (No. 65)
One atom of each set of equivalent atoms:
Y: 0.0000 0.0000 0.0000 x2  6 C 2.59-2.60
U: 0.0000 0.5000 0.0000 x2  6 C 2.38-2.42
U: 0.2500 0.2500 0.5000 x4  6 C 2.49-2.51
C: 0.0000 0.2583 0.0000 x4  5 U 2.42-2.49, 1 Y 2.59
C: 0.2278 0.5000 0.5000 x4  4 U 2.38-2.51, 2 Y 2.60

=====

| no. | formation enthalpy at 0 K (eV per atom) |
| --- | --- |
| 1 | -0.12 |
| 2 | -0.04 |
| 3 | 1.42 |
| 4 | 0.43 |
| 5 | 0.06 |
| 6 | -0.20 |
| 7 | 0.04 |
| 8 | -0.13 |
| 9 | 0.00 |
| 10 | -0.27 |
| 11 | -0.20 |
| 12 | -0.30 |
| 13 | -0.28 |
| 14 | -0.09 |
| 15 | 0.90 |
| 16 | 0.00 |
| 17 | -0.27 |
| 18 | -0.21 |
| 19 | -0.29 |
| 20 | -0.17 |